(1)
A plane-wave DFT calculation with GGA-PBE was carried out for a relaxed structure of Ti2Ga4Co.

M_tot, μB/cell: 1.27
Symmetry: No. 139
Crystal system: tetragonal
DFT total energy, eV per atom: -4.896
ΔH_f (0 K), eV/atom: 0.10

Cell: 4.4552 4.4552 7.1940 Å, 71.96 71.96 90.00°
Positions (direct):
Ti 0.3832 0.3832 0.2336
Ti 0.6168 0.6168 0.7664
Ga 0.1833 0.1833 0.6334
Ga 0.0000 0.5000 0.0000
Ga 0.5000 0.0000 0.0000
Ga 0.8167 0.8167 0.3666
Co 0.0000 0.0000 0.0000



(2)
A plane-wave DFT calculation with GGA-PBE was carried out for a relaxed structure of TiGa2Co5.

M_tot, μB/cell: 3.65
Symmetry: No. 139
Crystal system: tetragonal
DFT total energy, eV per atom: -6.425
ΔH_f (0 K), eV/atom: -0.24

Cell: 3.9153 3.9153 6.8009 Å, 106.73 106.73 90.00°
Positions (direct):
Co 0.3733 0.8733 0.7466
Co 0.8733 0.3733 0.7466
Co 0.6267 0.1267 0.2534
Co 0.1267 0.6267 0.2534
Co 0.5000 0.5000 0.0000
Ga 0.2511 0.2511 0.5021
Ga 0.7489 0.7489 0.4979
Ti 0.0000 0.0000 0.0000



(3)
A plane-wave DFT calculation with GGA-PBE was carried out for a relaxed structure of Ti3Ga2Co.

M_tot, μB/cell: 0.00
Symmetry: No. 72
Crystal system: orthorhombic
DFT total energy, eV per atom: -6.456
ΔH_f (0 K), eV/atom: -0.32

Cell: 5.0617 5.1658 7.9155 Å, 109.04 108.65 90.00°
Positions (direct):
Ti 0.5000 0.7500 0.0000
Ti 0.5000 0.2500 0.0000
Ti 0.4461 0.6799 0.3598
Ti 0.0863 0.8201 0.6402
Ti 0.5539 0.3201 0.6402
Ti 0.9137 0.1799 0.3598
Ga 0.0939 0.3682 0.7364
Ga 0.6425 0.8682 0.7364
Ga 0.3575 0.1318 0.2636
Ga 0.9061 0.6318 0.2636
Co 0.0000 0.7500 0.0000
Co 0.0000 0.2500 0.0000



(4)
A plane-wave DFT calculation with GGA-PBE was carried out for a relaxed structure of TiGa5Co.

M_tot, μB/cell: 0.00
Symmetry: No. 123
Crystal system: tetragonal
DFT total energy, eV per atom: -4.636
ΔH_f (0 K), eV/atom: -0.33

Cell: 4.0857 4.0857 6.4729 Å, 90.00 90.00 90.00°
Positions (direct):
Ti 0.0000 0.0000 0.0000
Ga 0.0000 0.5000 0.7041
Ga 0.5000 0.0000 0.2959
Ga 0.5000 0.5000 0.0000
Ga 0.0000 0.5000 0.2959
Ga 0.5000 0.0000 0.7041
Co 0.0000 0.0000 0.5000



(5)
A plane-wave DFT calculation with GGA-PBE was carried out for a relaxed structure of TiGa2Co.

M_tot, μB/cell: 0.83
Symmetry: No. 123
Crystal system: tetragonal
DFT total energy, eV per atom: -5.603
ΔH_f (0 K), eV/atom: -0.34

Cell: 3.8749 3.8054 3.8054 Å, 90.00 90.00 90.00°
Positions (direct):
Ga 0.0000 0.5000 0.0000
Ga 0.0000 0.0000 0.5000
Ti 0.5000 0.0000 0.0000
Co 0.5000 0.5000 0.5000



(6)
A plane-wave DFT calculation with GGA-PBE was carried out for a relaxed structure of Ti2GaCo2.

M_tot, μB/cell: 0.00
Symmetry: No. 127
Crystal system: tetragonal
DFT total energy, eV per atom: -6.767
ΔH_f (0 K), eV/atom: -0.16

Cell: 7.1251 7.1251 2.8152 Å, 90.00 90.00 90.00°
Positions (direct):
Ti 0.3466 0.8466 0.0000
Ti 0.1534 0.3466 0.0000
Ti 0.6534 0.1534 0.0000
Ti 0.8466 0.6534 0.0000
Co 0.8646 0.3646 0.5000
Co 0.1354 0.6354 0.5000
Co 0.6354 0.8646 0.5000
Co 0.3646 0.1354 0.5000
Ga 0.5000 0.5000 0.0000
Ga 0.0000 0.0000 0.0000



(7)
A plane-wave DFT calculation with GGA-PBE was carried out for a relaxed structure of Ti3GaCo.

M_tot, μB/cell: 0.00
Symmetry: No. 221
Crystal system: cubic
DFT total energy, eV per atom: -6.651
ΔH_f (0 K), eV/atom: 0.11
Energy relative to the lowest polymorph listed for this composition, meV/atom: 0

Cell: 4.4707 4.4707 4.4707 Å, 90.00 90.00 90.00°
Positions (direct):
Ti 0.5000 0.0000 0.0000
Ti 0.0000 0.5000 0.0000
Ti 0.0000 0.0000 0.5000
Co 0.0000 0.0000 0.0000
Ga 0.5000 0.5000 0.5000



(8)
A plane-wave DFT calculation with GGA-PBE was carried out for a relaxed structure of Ti7GaCo5.

M_tot, μB/cell: 0.00
Symmetry: No. 44
Crystal system: orthorhombic
DFT total energy, eV per atom: -7.493
ΔH_f (0 K), eV/atom: -0.28

Cell: 5.0538 6.5461 6.5461 Å, 81.57 67.29 67.29°
Positions (direct):
Co 0.5262 0.4630 0.9817
Co 0.0291 0.9817 0.4630
Co 0.7930 0.7070 0.7070
Co 0.5262 0.9817 0.4630
Co 0.0291 0.4630 0.9817
Ti 0.0131 0.6754 0.2985
Ti 0.5544 0.7846 0.1066
Ti 0.0131 0.2985 0.6754
Ti 0.5544 0.1066 0.7846
Ti 0.2692 0.2308 0.2308
Ti 0.2271 0.7729 0.7729
Ti 0.5640 0.4360 0.4360
Ga 0.9011 0.0989 0.0989



(9)
A plane-wave DFT calculation with GGA-PBE was carried out for a relaxed structure of Ti6GaCo5.

M_tot, μB/cell: 4.04
Symmetry: No. 71
Crystal system: orthorhombic
DFT total energy, eV per atom: -7.527
ΔH_f (0 K), eV/atom: -0.37

Cell: 4.2156 6.1444 7.3382 Å, 65.25 73.29 90.00°
Positions (direct):
Ga 0.0000 0.0000 0.0000
Ti 0.8291 0.0846 0.3416
Ti 0.1709 0.9154 0.6584
Ti 0.5000 0.7375 0.0000
Ti 0.1708 0.4263 0.6584
Ti 0.5000 0.2625 0.0000
Ti 0.8292 0.5737 0.3416
Co 0.3302 0.3304 0.3392
Co 0.6698 0.6696 0.6608
Co 0.6617 0.1616 0.6768
Co 0.3383 0.8384 0.3232
Co 0.0000 0.5000 0.0000



(10)
A plane-wave DFT calculation with GGA-PBE was carried out for a relaxed structure of Ti2GaCo2.

M_tot, μB/cell: 0.00
Symmetry: No. 164
Crystal system: trigonal
DFT total energy, eV per atom: -6.937
ΔH_f (0 K), eV/atom: -0.33

Cell: 4.0918 4.0918 5.0019 Å, 90.00 90.00 120.00°
Positions (direct):
Ga 0.0000 0.0000 0.0000
Co 0.6667 0.3333 0.8247
Co 0.3333 0.6667 0.1753
Ti 0.6667 0.3333 0.3299
Ti 0.3333 0.6667 0.6701



(11)
A plane-wave DFT calculation with GGA-PBE was carried out for a relaxed structure of Ti2Ga2Co3.

M_tot, μB/cell: 0.00
Symmetry: No. 12
Crystal system: monoclinic
DFT total energy, eV per atom: -6.594
ΔH_f (0 K), eV/atom: -0.43

Cell: 4.1488 4.1476 6.8488 Å, 90.06 107.69 119.97°
Positions (direct):
Co 0.4858 0.7433 0.2283
Co 0.5142 0.2567 0.7717
Co 0.0000 0.0000 0.0000
Ti 0.7678 0.3842 0.1518
Ti 0.2322 0.6158 0.8482
Ga 0.7402 0.8696 0.6108
Ga 0.2598 0.1304 0.3892



(12)
A plane-wave DFT calculation with GGA-PBE was carried out for a relaxed structure of Ti2GaCo6.

M_tot, μB/cell: 5.34
Symmetry: No. 71
Crystal system: orthorhombic
DFT total energy, eV per atom: -6.907
ΔH_f (0 K), eV/atom: -0.08

Cell: 2.6207 7.3677 6.9714 Å, 121.90 100.85 90.00°
Positions (direct):
Co 0.8197 0.9867 0.6382
Co 0.8197 0.6514 0.6382
Co 0.1803 0.0133 0.3618
Co 0.5000 0.7044 0.0000
Co 0.5000 0.2956 0.0000
Co 0.1803 0.3486 0.3618
Ga 0.0000 0.0000 0.0000
Ti 0.1407 0.6401 0.2803
Ti 0.8593 0.3599 0.7197



(13)
A plane-wave DFT calculation with GGA-PBE was carried out for a relaxed structure of Ti5Ga4Co.

M_tot, μB/cell: 0.25
Symmetry: No. 123
Crystal system: tetragonal
DFT total energy, eV per atom: -6.306
ΔH_f (0 K), eV/atom: -0.44
Energy relative to the lowest polymorph listed for this composition, meV/atom: 0

Cell: 2.8063 2.8063 19.2918 Å, 90.00 90.00 90.00°
Positions (direct):
Ti 0.5000 0.5000 0.0852
Ti 0.5000 0.5000 0.7062
Ti 0.5000 0.5000 0.9148
Ti 0.5000 0.5000 0.2938
Ti 0.5000 0.5000 0.5000
Co 0.0000 0.0000 0.0000
Ga 0.0000 0.0000 0.8100
Ga 0.0000 0.0000 0.3966
Ga 0.0000 0.0000 0.6034
Ga 0.0000 0.0000 0.1900



(14)
A plane-wave DFT calculation with GGA-PBE was carried out for a relaxed structure of Ti5Ga4Co.

M_tot, μB/cell: 2.08
Symmetry: No. 139
Crystal system: tetragonal
DFT total energy, eV per atom: -5.996
ΔH_f (0 K), eV/atom: -0.13
Energy relative to the lowest polymorph listed for this composition, meV/atom: 310

Cell: 4.4810 6.5543 6.5543 Å, 83.29 70.01 70.01°
Positions (direct):
Ga 0.5009 0.6797 0.3202
Ga 0.1806 0.3202 0.3203
Ga 0.8211 0.6798 0.6797
Ga 0.5008 0.3203 0.6798
Ti 0.8158 0.3705 0.9999
Ti 0.8157 0.0001 0.3705
Ti 0.1863 0.9999 0.6295
Ti 0.1862 0.6295 0.0001
Ti 0.5014 0.0000 0.0000
Co 0.0014 0.0000 0.0000



(15)
A plane-wave DFT calculation with GGA-PBE was carried out for a relaxed structure of Ti6GaCo.

M_tot, μB/cell: 2.19
Symmetry: No. 12
Crystal system: monoclinic
DFT total energy, eV per atom: -7.045
ΔH_f (0 K), eV/atom: 0.14

Cell: 5.5359 5.5359 5.6962 Å, 103.84 103.84 118.11°
Positions (direct):
Ti 0.2601 0.2601 0.7295
Ti 0.5184 0.9478 0.7428
Ti 0.9478 0.5184 0.7428
Ti 0.4816 0.0522 0.2572
Ti 0.0522 0.4816 0.2572
Ti 0.7399 0.7399 0.2705
Ga 0.0000 0.0000 0.0000
Co 0.5000 0.5000 0.5000



(16)
A plane-wave DFT calculation with GGA-PBE was carried out for a relaxed structure of TiGaCo.

M_tot, μB/cell: 1.08
Symmetry: No. 216
Crystal system: cubic
DFT total energy, eV per atom: -6.251
ΔH_f (0 K), eV/atom: -0.24

Cell: 4.0393 4.0393 4.0393 Å, 60.00 60.00 60.00°
Positions (direct):
Ti 0.0000 0.0000 0.0000
Co 0.2500 0.2500 0.2500
Ga 0.5000 0.5000 0.5000



(17)
A plane-wave DFT calculation with GGA-PBE was carried out for a relaxed structure of Ti2Ga3Co4.

M_tot, μB/cell: 0.00
Symmetry: No. 2
Crystal system: triclinic
DFT total energy, eV per atom: -6.334
ΔH_f (0 K), eV/atom: -0.41

Cell: 3.9212 4.2833 7.7705 Å, 82.34 89.93 62.77°
Positions (direct):
Ti 0.6726 0.6537 0.2138
Ti 0.3274 0.3463 0.7862
Ga 0.3441 0.3101 0.4251
Ga 0.6559 0.6899 0.5749
Ga 0.0000 0.0000 0.0000
Co 0.3340 0.3313 0.1077
Co 0.0180 0.9622 0.3270
Co 0.6660 0.6687 0.8923
Co 0.9820 0.0378 0.6730



(18)
A plane-wave DFT calculation with GGA-PBE was carried out for a relaxed structure of Ti2GaCo2.

M_tot, μB/cell: 0.00
Symmetry: No. 127
Crystal system: tetragonal
DFT total energy, eV per atom: -7.014
ΔH_f (0 K), eV/atom: -0.41

Cell: 6.7788 6.7788 2.9764 Å, 90.00 90.00 90.00°
Positions (direct):
Ti 0.1687 0.6687 0.5000
Ti 0.8313 0.3313 0.5000
Ti 0.6687 0.8313 0.5000
Ti 0.3313 0.1687 0.5000
Ga 0.0000 0.0000 0.0000
Ga 0.5000 0.5000 0.0000
Co 0.8685 0.6315 0.0000
Co 0.3685 0.8685 0.0000
Co 0.1315 0.3685 0.0000
Co 0.6315 0.1315 0.0000



(19)
A plane-wave DFT calculation with GGA-PBE was carried out for a relaxed structure of Ti3Ga4Co2.

M_tot, μB/cell: 0.00
Symmetry: No. 12
Crystal system: monoclinic
DFT total energy, eV per atom: -5.946
ΔH_f (0 K), eV/atom: -0.39

Cell: 4.0723 5.2055 7.6693 Å, 115.41 90.00 113.03°
Positions (direct):
Ga 0.0548 0.1096 0.3760
Ga 0.7080 0.4160 0.0620
Ga 0.9452 0.8904 0.6240
Ga 0.2920 0.5840 0.9380
Ti 0.0000 0.0000 0.0000
Ti 0.3434 0.6867 0.3326
Ti 0.6566 0.3133 0.6674
Co 0.6740 0.3480 0.3528
Co 0.3260 0.6520 0.6472



(20)
A plane-wave DFT calculation with GGA-PBE was carried out for a relaxed structure of TiGaCo3.

M_tot, μB/cell: 3.96
Symmetry: No. 63
Crystal system: orthorhombic
DFT total energy, eV per atom: -6.303
ΔH_f (0 K), eV/atom: 0.14
Energy relative to the lowest polymorph listed for this composition, meV/atom: 0

Cell: 4.8857 5.4644 5.4644 Å, 110.34 90.00 90.00°
Positions (direct):
Co 0.7500 0.2243 0.7757
Co 0.7500 0.6301 0.7387
Co 0.2500 0.7387 0.6301
Co 0.7500 0.2613 0.3699
Co 0.2500 0.7757 0.2243
Co 0.2500 0.3699 0.2613
Ga 0.5000 0.0000 0.0000
Ga 0.0000 0.0000 0.0000
Ti 0.7500 0.6868 0.3132
Ti 0.2500 0.3132 0.6868



(21)
A plane-wave DFT calculation with GGA-PBE was carried out for a relaxed structure of TiGa2Co.

M_tot, μB/cell: 0.00
Symmetry: No. 122
Crystal system: tetragonal
DFT total energy, eV per atom: -5.236
ΔH_f (0 K), eV/atom: 0.03

Cell: 3.6536 3.6536 9.6166 Å, 79.05 79.05 90.00°
Positions (direct):
Ga 0.8750 0.8821 0.7500
Ga 0.1179 0.6250 0.2500
Ga 0.6321 0.1250 0.2500
Ga 0.3750 0.3679 0.7500
Ti 0.5000 0.5000 0.0000
Ti 0.2500 0.7500 0.5000
Co 0.0000 0.0000 0.0000
Co 0.7500 0.2500 0.5000



(22)
A plane-wave DFT calculation with GGA-PBE was carried out for a relaxed structure of Ti8GaCo2.

M_tot, μB/cell: 0.00
Symmetry: No. 12
Crystal system: monoclinic
DFT total energy, eV per atom: -7.427
ΔH_f (0 K), eV/atom: -0.12

Cell: 4.3498 6.8987 6.8987 Å, 116.37 98.77 98.77°
Positions (direct):
Ti 0.5000 0.2364 0.7636
Ti 0.5000 0.7636 0.2364
Ti 0.0778 0.3187 0.0846
Ti 0.9222 0.6813 0.9154
Ti 0.3136 0.6075 0.6075
Ti 0.6864 0.3925 0.3925
Ti 0.9222 0.9154 0.6813
Ti 0.0778 0.0846 0.3187
Ga 0.5000 0.0000 0.0000
Co 0.0000 0.6882 0.3118
Co 0.0000 0.3118 0.6882



(23)
A plane-wave DFT calculation with GGA-PBE was carried out for a relaxed structure of TiGa5Co4.

M_tot, μB/cell: 0.00
Symmetry: No. 123
Crystal system: tetragonal
DFT total energy, eV per atom: -5.461
ΔH_f (0 K), eV/atom: -0.32

Cell: 2.8538 2.8538 15.6025 Å, 90.00 90.00 90.00°
Positions (direct):
Co 0.0000 0.0000 0.4065
Co 0.0000 0.0000 0.5935
Co 0.0000 0.0000 0.7808
Co 0.0000 0.0000 0.2192
Ga 0.5000 0.5000 0.3116
Ga 0.5000 0.5000 0.8765
Ga 0.5000 0.5000 0.6884
Ga 0.5000 0.5000 0.5000
Ga 0.5000 0.5000 0.1235
Ti 0.0000 0.0000 0.0000



(24)
A plane-wave DFT calculation with GGA-PBE was carried out for a relaxed structure of TiTl2GaCo.

M_tot, μB/cell: 1.53
Symmetry: No. 123
Crystal system: tetragonal
DFT total energy, eV per atom: -3.397
ΔH_f (0 K), eV/atom: 1.16

Cell: 5.1362 4.9276 5.1362 Å, 90.00 90.00 90.00°
Positions (direct):
Tl 0.0000 0.0000 0.5000
Tl 0.5000 0.0000 0.0000
Ga 0.0000 0.0000 0.0000
Ti 0.0000 0.5000 0.0000
Co 0.5000 0.5000 0.5000